Entry 1:
VASP calculation (meta-GGA SCAN) on a crystal of HfMn2Mo relaxed with PBEsol.

Lattice parameters (Å, degrees): 4.272 4.272 4.272 60.00 60.00 60.00
Atoms (fractional coordinates):
1 Hf 0.500 0.500 0.500
2 Mn 0.750 0.750 0.750
3 Mn 0.250 0.250 0.250
4 Mo 0.000 0.000 0.000

Output
**SG**: Fm-3m, No. 225
**DFT formation energy**: -0.105 eV per atom



Entry 2:
VASP calculation (meta-GGA SCAN) on a crystal of GaBiF3 relaxed with PBEsol.

Lattice parameters (Å, degrees): 4.640 4.640 4.640 90.00 90.00 90.00
Atoms (fractional coordinates):
1 Bi 0.000 0.000 0.000
2 Ga 0.500 0.500 0.500
3 F 0.000 0.000 0.500
4 F 0.000 0.500 0.000
5 F 0.500 0.000 0.000

Output
**Raw formation energy**: -1463 meV per atom
**SG**: Pm-3m, No. 221



Entry 3:
VASP calculation (meta-GGA SCAN) on a crystal of MnSiOsRh2 relaxed with PBEsol.

Lattice parameters (Å, degrees): 4.246 4.228 4.228 90.00 90.00 90.00
Last column: magnetic moment on the atom in μB.
Atoms (fractional coordinates):
1 Si 0.000 0.000 0.000  -0.07
2 Rh 0.000 0.500 0.000  0.41
3 Rh 0.000 0.000 0.500  0.41
4 Os 0.500 0.500 0.500  1.65
5 Mn 0.500 0.000 0.000  3.38

Output
**Raw formation energy**: 823 meV per atom
**SG**: P4/mmm, No. 123



Entry 4:
VASP calculation (meta-GGA SCAN) on a crystal of Ta2BeIr relaxed with PBEsol.

Lattice parameters (Å, degrees): 2.864 2.864 7.035 90.00 90.00 90.00
Atoms (fractional coordinates):
1 Ir 0.500 0.500 0.705
2 Ta 0.000 0.000 0.969
3 Ta 0.500 0.500 0.287
4 Be 0.000 0.000 0.539

Output
**SG**: P4mm, No. 99
**DFT formation energy**: -0.422 eV per atom



Calculated size of the total moment (μB per formula unit), listed in the same order as above: 0.00 0.00 5.93 0.00